This record from the Alexandria database describes MnBr2O after structural relaxation. The functional is PBE+U.

a b c (Å): 7.361 7.361 7.361
angles (deg): 31.91 31.91 31.91
Site moments in Bohr magnetons follow the coordinates.
Atoms (fractional coordinates):
Mn 0.500 0.500 0.500  4.60
O 0.000 0.000 0.000  0.04
Br 0.902 0.902 0.902  0.04
Br 0.098 0.098 0.098  0.04

Values from the calculation:
The value obtained for the size of the total moment is 1.25 μB per atom. The density of states at the Fermi level comes out at 0.0000 states/eV/atom. The total DFT energy (no corrections) comes out at -4.03 eV/atom. The calculation puts the volume at 99.0 Å³ per cell.